Compound: Rb2Sn7Au
Source: the Alexandria database
Functional: GGA-PBE
Structure: optimized geometry

**E_form**: -0.15 eV per atom
**E_tot**: -3.469 eV per atom
**Total magnetization**: 0.00 μB/f.u.

Lattice parameters (Å, degrees): 5.1427 5.1427 12.5770 90.00 90.00 90.00
Space group P-4m2 (No. 115)
Unique sites:
Rb 0.0000 0.5000 0.2405 [2 per cell]
Sn 0.0000 0.0000 0.0000 [1 per cell]
Sn 0.0000 0.0000 0.5000 [1 per cell]
Sn 0.0000 0.5000 0.6324 [2 per cell]
Sn 0.0000 0.5000 0.8839 [2 per cell]
Sn 0.5000 0.5000 0.5000 [1 per cell]
Au 0.5000 0.5000 0.0000 [1 per cell]